No. 1
DFT (PBE) results for an optimized crystal structure of RbNdPO.

Cell: 4.2173 4.2173 10.8352 Å, 90.00 90.00 90.00°
Closest atoms and distances in Å follow each position.
Space group P4/nmm (No. 129, origin choice 2)
Symmetry-distinct sites (fractional):
1 Rb 0.2500 0.7500 0.0000 (multiplicity 2)  4 Rb 2.98, 4 P 3.27
2 Nd 0.2500 0.2500 0.4004 (multiplicity 2)  4 O 2.37
3 P 0.2500 0.2500 0.7697 (multiplicity 2)  4 Rb 3.27, 4 Nd 3.51, 4 O 3.60
4 O 0.2500 0.7500 0.5000 (multiplicity 2)  4 Nd 2.37

Values from the calculation:
Mass density in Mg/m³: 4.77
Total DFT energy (no corrections) in eV per atom: -5.2791

No. 2
DFT (PBE) results for an optimized crystal structure of NdSbPO.

Cell: 4.1313 4.1313 10.0899 Å, 90.00 90.00 90.00°
Closest atoms and distances in Å follow each position.
Space group P4/nmm (No. 129, origin choice 2)
Symmetry-distinct sites (fractional):
1 Nd 0.2500 0.2500 0.1126 (multiplicity 2)  4 O 2.36
2 Sb 0.2500 0.7500 0.5000 (multiplicity 2)  4 Sb 2.92, 4 P 3.04
3 P 0.2500 0.2500 0.7214 (multiplicity 2)  4 Sb 3.04, 4 Nd 3.37
4 O 0.2500 0.7500 0.0000 (multiplicity 2)  4 Nd 2.36

Values from the calculation:
Mass density in Mg/m³: 6.04
Total DFT energy (no corrections) in eV per atom: -6.0916

No. 3
DFT (PBE) results for an optimized crystal structure of NdSbPO.

Cell: 5.7042 5.7042 5.1987 Å, 90.00 90.00 90.00°
Closest atoms and distances in Å follow each position.
Space group P4/nmm (No. 129, origin choice 2)
Symmetry-distinct sites (fractional):
1 Nd 0.2500 0.7500 0.0000 (multiplicity 2)  2 O 2.60, 4 P 2.85
2 Sb 0.2500 0.2500 0.4982 (multiplicity 2)  2 P 2.60, 4 O 2.85
3 P 0.2500 0.2500 0.9988 (multiplicity 2)  2 Sb 2.60, 4 Nd 2.85
4 O 0.2500 0.7500 0.5000 (multiplicity 2)  2 Nd 2.60, 4 Sb 2.85

Values from the calculation:
Mass density in Mg/m³: 6.14
Total DFT energy (no corrections) in eV per atom: -5.7530

No. 4
DFT (PBE) results for an optimized crystal structure of NdSbPO.

Cell: 4.3202 6.1481 6.3000 Å, 90.00 90.00 90.00°
Closest atoms and distances in Å follow each position.
Space group Pmc2_1 (No. 26)
Symmetry-distinct sites (fractional):
1 Nd 0.0000 0.2226 0.0000 (multiplicity 2)  2 O 2.41-2.44
2 Sb 0.5000 0.3717 0.4033 (multiplicity 2)  2 O 2.23
3 P 0.5000 0.0766 0.6992 (multiplicity 2)  1 Sb 2.60
4 O 0.0000 0.4205 0.3309 (multiplicity 2)  2 Sb 2.23, 2 Nd 2.41-2.44

Values from the calculation:
Mass density in Mg/m³: 6.21
Total DFT energy (no corrections) in eV per atom: -6.0476

No. 5
DFT (PBE) results for an optimized crystal structure of NdSnPO.

Cell: 5.6249 5.6249 5.1557 Å, 90.00 90.00 90.00°
Closest atoms and distances in Å follow each position.
Space group P4/nmm (No. 129, origin choice 2)
Symmetry-distinct sites (fractional):
1 Nd 0.2500 0.7500 0.0000 (multiplicity 2)  2 O 2.58, 4 P 2.81
2 Sn 0.2500 0.2500 0.4918 (multiplicity 2)  2 P 2.56-2.59, 4 O 2.81
3 P 0.2500 0.2500 0.9889 (multiplicity 2)  2 Sn 2.56-2.59, 4 Nd 2.81
4 O 0.2500 0.7500 0.5000 (multiplicity 2)  2 Nd 2.58, 4 Sn 2.81

Values from the calculation:
Mass density in Mg/m³: 6.31
Total DFT energy (no corrections) in eV per atom: -5.8877

No. 6
DFT (PBE) results for an optimized crystal structure of NdSnPO.

Cell: 4.5950 6.2886 6.3962 Å, 90.00 90.00 90.00°
Closest atoms and distances in Å follow each position.
Space group Pmc2_1 (No. 26)
Symmetry-distinct sites (fractional):
1 Nd 0.0000 0.1832 0.0000 (multiplicity 2)  2 O 2.23-2.34
2 Sn 0.5000 0.2608 0.3718 (multiplicity 2)  2 O 2.42, 1 P 2.56
3 P 0.5000 0.3177 0.7673 (multiplicity 2)  2 Sn 2.56-2.73
4 O 0.0000 0.1424 0.3629 (multiplicity 2)  2 Nd 2.23-2.34, 2 Sn 2.42

Values from the calculation:
Mass density in Mg/m³: 5.57
Total DFT energy (no corrections) in eV per atom: -6.0254